Entry from Alexandria via LeMat-Bulk: an optimized crystal structure of TaAl3P (PBE).

Output
Formation energy = 0.805 eV/atom
Size of the total moment = 0.00 Bohr magnetons per cell
Calculated volume = 18.9 Å³ per atom
Relative energy among the computed polymorphs = 0.0 meV/atom

a = 4.5552 Å, b = 4.5552 Å, c = 4.5552 Å
α = 90.00°, β = 90.00°, γ = 90.00°
With the nearest neighbours (Å) after each atom.
Space group Pm-3m (No. 221)
Inequivalent atoms, fractional coordinates:
Ta1 0.0000 0.0000 0.0000 [1 per cell]  12 Al 3.22
Al1 0.0000 0.5000 0.5000 [3 per cell]  2 P 2.28
P1 0.5000 0.5000 0.5000 [1 per cell]  6 Al 2.28